Record 1
## CaPm14Dy (PBE)

Data for an optimized crystal structure of CaPm14Dy.

Cell: 11.3258 8.7085 11.1949 Å, 90.00 90.00 90.00°
With the nearest neighbours (Å) after each atom.
Space group Amm2 (No. 38)
Unique sites:
Ca 0.0000 0.0000 0.0000  10 Pm 3.53-3.65
Pm 0.0000 0.2072 0.7229  7 Pm 3.56-3.76, 2 Dy 3.57-3.59, 2 Ca 3.57-3.59
Pm 0.2322 0.0000 0.2266  8 Pm 3.43-3.76, 1 Dy 3.60, 1 Ca 3.65
Pm 0.2568 0.2140 0.9360  9 Pm 3.42-3.76, 1 Ca 3.53, 1 Dy 3.83
Pm 0.2625 0.0000 0.6562  10 Pm 3.50-3.73, 1 Dy 3.79
Pm 0.5000 0.0000 0.4401  12 Pm 3.54-3.86
Pm 0.5000 0.0000 0.8638  10 Pm 3.42-3.72
Pm 0.5000 0.2030 0.1565  11 Pm 3.47-3.73
Dy 0.0000 0.0000 0.4457  12 Pm 3.57-3.83

## Properties
Calculated total energy in eV per atom: -4.50
Energy of formation in eV/atom: 0.068

---

Record 2
## TcIrO3 (PBE)

Data for an optimized crystal structure of TcIrO3.

Cell: 3.8705 3.8705 3.8705 Å, 90.00 90.00 90.00°
With the nearest neighbours (Å) after each atom.
Space group Pm-3m (No. 221)
Unique sites:
Tc 0.0000 0.0000 0.0000  6 O 1.94
Ir 0.5000 0.5000 0.5000  12 O 2.74
O 0.0000 0.0000 0.5000  2 Tc 1.94

## Properties
Calculated total energy in eV per atom: -6.74
Formation energy without anion corrections in eV/f.u.: 0.42

---

Record 3
## Nb2VRh (PBE)

Data for an optimized crystal structure of Nb2VRh.

Cell: 3.7266 3.7266 19.8644 Å, 90.00 90.00 90.00°
With the nearest neighbours (Å) after each atom.
Space group I-42d (No. 122)
Unique sites:
Nb 0.2449 0.2500 0.1250  4 Nb 2.61-2.66, 2 V 2.80, 2 Rh 2.82
V 0.0000 0.0000 0.0000  4 Rh 2.64, 4 Nb 2.80
Rh 0.0000 0.0000 0.5000  4 V 2.64, 4 Nb 2.82

## Properties
Calculated total energy in eV per atom: -8.72
Energy above the most stable polymorph in this dataset in meV/atom: 665.9
Energy of formation in eV/atom: 0.428

---

Record 4
## PrCdHgPb (PBE)

Data for an optimized crystal structure of PrCdHgPb.

Cell: 4.5840 4.7432 4.9608 Å, 90.00 90.00 90.00°
With the nearest neighbours (Å) after each atom.
Space group Pmmm (No. 47)
Unique sites:
Pr 0.0000 0.0000 0.0000  4 Pb 3.30, 4 Hg 3.38, 4 Cd 3.43
Cd 0.0000 0.5000 0.5000  4 Hg 3.30, 4 Pb 3.38, 4 Pr 3.43
Hg 0.5000 0.0000 0.5000  4 Cd 3.30, 4 Pr 3.38, 4 Pb 3.43
Pb 0.5000 0.5000 0.0000  4 Pr 3.30, 4 Cd 3.38, 4 Hg 3.43

## Properties
Calculated total energy in eV per atom: -2.82
Energy above the most stable polymorph in this dataset in meV/atom: 0.0
Energy of formation in eV/atom: -0.393